(1)
VASP calculation (PBE) on a relaxed structure of Th4Te2AsPb.

Values from the calculation:
Symmetry: P2/m (10)
Energy: -51.82 eV/f.u.
Crystal system: monoclinic
Calculated density: 9.71 g cm⁻³
Uncorrected formation energy: -0.937 eV per atom
Volume: 31.34 Å³/atom

Cell and atoms, written as CIF:
```
data_Th4Te2AsPb
_chemical_formula_sum 'Th4 Te2 As1 Pb1'
_space_group_name_H-M_alt 'P 1'
_space_group_IT_number 1
_space_group_name_Hall 'P 1'
_cell_length_a 4.439
_cell_length_b 7.712
_cell_length_c 7.762
_cell_angle_alpha 109.37
_cell_angle_beta 90.00
_cell_angle_gamma 90.00
loop_
_atom_site_label
_atom_site_type_symbol
_atom_site_fract_x
_atom_site_fract_y
_atom_site_fract_z
_atom_site_occupancy
Th1 Th 0.500 0.268 0.236 1
Th2 Th 0.500 0.732 0.764 1
Th3 Th 0.000 0.277 0.776 1
Th4 Th 0.000 0.723 0.224 1
Te1 Te 0.500 0.000 0.500 1
Te2 Te 0.000 0.500 0.500 1
As1 As 0.500 0.500 0.000 1
Pb1 Pb 0.000 0.000 0.000 1
```

---

(2)
VASP calculation (PBE) on a relaxed structure of YHo2Cd5.

Values from the calculation:
Calculated formation energy: -29.5 kJ/mol of atoms
Symmetry: I4/mmm (139)
Energy: -22.64 eV/f.u.
Crystal system: tetragonal
Calculated density: 8.30 g cm⁻³
Volume: 24.54 Å³/atom

Cell and atoms, written as CIF:
```
data_YHo2Cd5
_chemical_formula_sum 'Y1 Ho2 Cd5'
_space_group_name_H-M_alt 'P 1'
_space_group_IT_number 1
_space_group_name_Hall 'P 1'
_cell_length_a 5.114
_cell_length_b 5.114
_cell_length_c 8.334
_cell_angle_alpha 107.87
_cell_angle_beta 107.87
_cell_angle_gamma 90.00
loop_
_atom_site_label
_atom_site_type_symbol
_atom_site_fract_x
_atom_site_fract_y
_atom_site_fract_z
_atom_site_occupancy
Y1 Y 0.000 0.000 0.000 1
Ho1 Ho 0.739 0.739 0.479 1
Ho2 Ho 0.261 0.261 0.521 1
Cd1 Cd 0.500 0.500 0.000 1
Cd2 Cd 0.879 0.379 0.759 1
Cd3 Cd 0.379 0.879 0.759 1
Cd4 Cd 0.121 0.621 0.241 1
Cd5 Cd 0.621 0.121 0.241 1
```

---

(3)
VASP calculation (PBE) on a relaxed structure of BaCaWBr2.

Values from the calculation:
Symmetry: P4/mmm (123)
Energy: -18.59 eV/f.u.
Crystal system: tetragonal
Calculated density: 2.29 g cm⁻³
Uncorrected formation energy: 0.327 eV per atom
Volume: 75.56 Å³/atom

Cell and atoms, written as CIF:
```
data_BaCaWBr2
_chemical_formula_sum 'Ba1 Ca1 W1 Br2'
_space_group_name_H-M_alt 'P 1'
_space_group_IT_number 1
_space_group_name_Hall 'P 1'
_cell_length_a 5.372
_cell_length_b 13.093
_cell_length_c 5.372
_cell_angle_alpha 90.00
_cell_angle_beta 90.00
_cell_angle_gamma 90.00
loop_
_atom_site_label
_atom_site_type_symbol
_atom_site_fract_x
_atom_site_fract_y
_atom_site_fract_z
_atom_site_occupancy
Ca1 Ca 0.000 0.000 0.000 1
Br1 Br 0.000 0.000 0.500 1
Br2 Br 0.500 0.000 0.000 1
Ba1 Ba 0.000 0.500 0.000 1
W1 W 0.500 0.500 0.500 1
```